# P2IrPdS | Alexandria via LeMat-Bulk | PBEsol | relaxed
data_P2IrPdS
_symmetry_space_group_name_H-M 'P 1'
_symmetry_Int_Tables_number 1
_symmetry_space_group_name_Hall 'P 1'
_cell_length_a 4.413
_cell_length_b 4.413
_cell_length_c 4.957
_cell_angle_alpha 90.00
_cell_angle_beta 90.00
_cell_angle_gamma 90.00
loop_
_atom_site_label
_atom_site_fract_x
_atom_site_fract_y
_atom_site_fract_z
_atom_site_occupancy
P1 0.000 0.500 0.000 1
P2 0.500 0.000 0.000 1
Ir1 0.000 0.000 0.000 1
Pd1 0.500 0.500 0.500 1
S1 0.000 0.000 0.500 1
# * formation energy without anion corrections: 0.812 eV per atom


# P2IrPdS | Alexandria via LeMat-Bulk | PBEsol | relaxed
data_P2IrPdS
_symmetry_space_group_name_H-M 'P 1'
_symmetry_Int_Tables_number 1
_symmetry_space_group_name_Hall 'P 1'
_cell_length_a 4.441
_cell_length_b 4.441
_cell_length_c 4.581
_cell_angle_alpha 90.00
_cell_angle_beta 90.00
_cell_angle_gamma 90.00
loop_
_atom_site_label
_atom_site_fract_x
_atom_site_fract_y
_atom_site_fract_z
_atom_site_occupancy
P1 0.000 0.500 0.000 1
P2 0.500 0.000 0.000 1
Ir1 0.000 0.000 0.500 1
Pd1 0.500 0.500 0.000 1
S1 0.500 0.500 0.500 1
# * formation energy without anion corrections: 1.235 eV per atom


# PrPIr | Alexandria via LeMat-Bulk | PBEsol | relaxed
data_PrPIr
_symmetry_space_group_name_H-M 'P 1'
_symmetry_Int_Tables_number 1
_symmetry_space_group_name_Hall 'P 1'
_cell_length_a 7.613
_cell_length_b 7.613
_cell_length_c 7.613
_cell_angle_alpha 148.77
_cell_angle_beta 148.77
_cell_angle_gamma 44.74
loop_
_atom_site_label
_atom_site_fract_x
_atom_site_fract_y
_atom_site_fract_z
_atom_site_occupancy
Pr1 0.000 0.000 0.000 1
Pr2 0.750 0.250 0.500 1
P1 0.171 0.671 0.500 1
P2 0.421 0.421 0.000 1
Ir1 0.338 0.838 0.500 1
Ir2 0.588 0.588 0.000 1
# * E: -48.4 eV per cell


# PIr2Pt | Alexandria via LeMat-Bulk | PBEsol | relaxed
data_PIr2Pt
_symmetry_space_group_name_H-M 'P 1'
_symmetry_Int_Tables_number 1
_symmetry_space_group_name_Hall 'P 1'
_cell_length_a 4.542
_cell_length_b 4.542
_cell_length_c 2.837
_cell_angle_alpha 90.00
_cell_angle_beta 90.00
_cell_angle_gamma 106.41
loop_
_atom_site_label
_atom_site_fract_x
_atom_site_fract_y
_atom_site_fract_z
_atom_site_occupancy
P1 0.000 0.000 0.000 1
Ir1 0.000 0.500 0.500 1
Ir2 0.500 0.000 0.500 1
Pt1 0.500 0.500 0.000 1
# * E: -31.9 eV per cell


# PIr2Pt | Alexandria via LeMat-Bulk | PBEsol | relaxed
data_PIr2Pt
_symmetry_space_group_name_H-M 'P 1'
_symmetry_Int_Tables_number 1
_symmetry_space_group_name_Hall 'P 1'
_cell_length_a 8.278
_cell_length_b 8.278
_cell_length_c 8.278
_cell_angle_alpha 19.54
_cell_angle_beta 19.54
_cell_angle_gamma 19.54
loop_
_atom_site_label
_atom_site_fract_x
_atom_site_fract_y
_atom_site_fract_z
_atom_site_occupancy
P1 0.000 0.000 0.000 1
Ir1 0.262 0.262 0.262 1
Ir2 0.738 0.738 0.738 1
Pt1 0.500 0.500 0.500 1
# * E: -32.9 eV per cell


# PIrPt2 | Alexandria via LeMat-Bulk | PBEsol | relaxed
data_PIrPt2
_symmetry_space_group_name_H-M 'P 1'
_symmetry_Int_Tables_number 1
_symmetry_space_group_name_Hall 'P 1'
_cell_length_a 4.340
_cell_length_b 4.340
_cell_length_c 4.340
_cell_angle_alpha 60.00
_cell_angle_beta 60.00
_cell_angle_gamma 60.00
loop_
_atom_site_label
_atom_site_fract_x
_atom_site_fract_y
_atom_site_fract_z
_atom_site_occupancy
P1 0.000 0.000 0.000 1
Ir1 0.750 0.750 0.750 1
Pt1 0.250 0.250 0.250 1
Pt2 0.500 0.500 0.500 1
# * E: -28.7 eV per cell


These records have spin magnetization values of 0.0; 0.0; 0.0; 0.0; 0.0; 0.0 Bohr magnetons per cell, in the order they appear.